5
Lattice="5.3660 0.0000 0.0000 0.0000 4.3384 0.0000 0.0000 0.0000 5.3660" Properties=species:S:1:pos:R:3 comment="RbLi2AgN PBE optimized geometry" magmom_total_mub_per_cell=0.00 spacegroup="P4/mmm (123)" vol_a3_per_cell=124.9 e_form_raw_mev_per_atom=1292 e_tot_ry_per_atom=-0.140 pbc="T T T"
Li 0.0000 0.0000 2.6830
Li 2.6830 0.0000 0.0000
Rb 0.0000 0.0000 0.0000
Ag 2.6830 2.1692 2.6830
N 0.0000 2.1692 0.0000